No. 1
{"formula": "Li5B8C8", "functional": "PBE", "state": "relaxed", "lattice_angstrom": [[7.655, -1.351, 0.000], [7.655, 1.351, 0.000], [-2.760, 0.000, 9.028]], "species": ["Li", "Li", "Li", "Li", "Li", "B", "B", "B", "B", "B", "B", "B", "B", "C", "C", "C", "C", "C", "C", "C", "C"], "frac_coords": [[0.000, 0.000, 0.000], [0.249, 0.249, 0.124], [0.251, 0.251, 0.626], [0.749, 0.749, 0.374], [0.751, 0.751, 0.876], [0.125, 0.125, 0.233], [0.128, 0.128, 0.734], [0.372, 0.372, 0.018], [0.372, 0.372, 0.515], [0.628, 0.628, 0.485], [0.628, 0.628, 0.982], [0.872, 0.872, 0.266], [0.875, 0.875, 0.767], [0.131, 0.131, 0.400], [0.131, 0.131, 0.900], [0.367, 0.367, 0.349], [0.374, 0.374, 0.853], [0.626, 0.626, 0.147], [0.633, 0.633, 0.651], [0.869, 0.869, 0.100], [0.869, 0.869, 0.600]], "delta_e_f_ev_per_atom": -0.1271, "vol_a3_per_atom": 8.89, "space_group": "C2/m, No. 12", "total_magnetization_mub_per_cell": 0.000}

=====

No. 2
{"formula": "Nd5Dy5Ho2", "functional": "PBE", "state": "relaxed", "lattice_angstrom": [[7.639, -2.541, 0.000], [7.639, 2.541, 0.000], [-5.092, 0.000, 10.162]], "species": ["Nd", "Nd", "Nd", "Nd", "Nd", "Dy", "Dy", "Dy", "Dy", "Dy", "Ho", "Ho"], "frac_coords": [[0.000, 0.000, 0.000], [0.082, 0.082, 0.748], [0.249, 0.249, 0.251], [0.751, 0.751, 0.749], [0.918, 0.918, 0.252], [0.333, 0.333, 0.000], [0.416, 0.416, 0.747], [0.500, 0.500, 0.500], [0.584, 0.584, 0.253], [0.667, 0.667, 0.000], [0.167, 0.167, 0.499], [0.833, 0.833, 0.501]], "delta_e_f_ev_per_atom": 0.0174, "vol_a3_per_atom": 32.88, "space_group": "C2/m, No. 12", "total_magnetization_mub_per_cell": 0.000}